No. 1
MgAs2W | PBE | relaxed

Properties
crystal system = cubic
calculated formation energy = 709 meV/atom
N(E_F) = 0.91 states/eV per atom

Lattice parameters (Å, degrees): 6.5237 6.5237 6.5237 90.00 90.00 90.00
Space group F-43m (No. 216)
Asymmetric unit:
Mg1 0.0000 0.0000 0.0000
As1 0.0000 0.0000 0.5000
As2 0.2500 0.2500 0.2500
W1 0.2500 0.2500 0.7500

---

No. 2
Mg2AsW | PBE | relaxed

Properties
crystal system = cubic
calculated formation energy = 538 meV/atom
N(E_F) = 0.90 states/eV per atom

Lattice parameters (Å, degrees): 6.5341 6.5341 6.5341 90.00 90.00 90.00
Space group F-43m (No. 216)
Asymmetric unit:
Mg1 0.0000 0.0000 0.0000
Mg2 0.2500 0.2500 0.2500
As1 0.0000 0.0000 0.5000
W1 0.2500 0.2500 0.7500

---

No. 3
Mg2AsW | PBE | relaxed

Properties
crystal system = tetragonal
calculated formation energy = 93 meV/atom
N(E_F) = 0.57 states/eV per atom

Lattice parameters (Å, degrees): 3.2664 3.2664 7.0400 90.00 90.00 90.00
Space group P4mm (No. 99)
Asymmetric unit:
Mg1 0.0000 0.0000 0.0000
Mg2 0.5000 0.5000 0.3168
As1 0.5000 0.5000 0.7431
W1 0.0000 0.0000 0.5773

---

No. 4
MgAsW2 | PBE | relaxed

Properties
crystal system = orthorhombic
calculated formation energy = 646 meV/atom
ΔE to the lowest computed polymorph = 459.7 meV per atom
N(E_F) = 0.78 states/eV per atom

Lattice parameters (Å, degrees): 5.4209 8.9074 2.7660 90.00 90.00 90.00
Space group Cmmm (No. 65)
Asymmetric unit:
Mg1 0.0000 0.0000 0.0000
As1 0.0000 0.5000 0.0000
W1 0.2500 0.2500 0.5000